KAl2WO6: relaxed, PBE with a Hubbard U.

Output
Final energy, eV per formula unit: -69.805
Fermi-level density of states, states/eV/atom: 0.000

Cell lengths 6.9626, 6.9626, 5.3621 Å; angles 94.27, 94.27, 94.72 degrees
Fractional coordinates of all 20 atoms:
K 0.0829 0.9171 0.7500
K 0.9171 0.0829 0.2500
Al 0.2266 0.3999 0.6994
Al 0.3999 0.2266 0.1994
Al 0.6001 0.7734 0.8006
Al 0.7734 0.6001 0.3006
W 0.2847 0.7153 0.2500
W 0.7153 0.2847 0.7500
O 0.0071 0.7215 0.3199
O 0.2178 0.6016 0.9193
O 0.2785 0.9929 0.1801
O 0.2817 0.4142 0.3723
O 0.3984 0.7822 0.5807
O 0.4142 0.2817 0.8723
O 0.5858 0.7183 0.1277
O 0.6016 0.2178 0.4193
O 0.7183 0.5858 0.6277
O 0.7215 0.0071 0.8199
O 0.7822 0.3984 0.0807
O 0.9929 0.2785 0.6801